DFT (PBE) results for Sr2GaBi2 after structural relaxation.

```
10
Lattice="9.615 0.000 0.000 0.000 9.615 0.000 0.000 0.000 3.897" Properties=species:S:1:pos:R:3 pbc="T T T"
Bi 6.407 8.016 1.949
Sr 3.502 8.309 0.000
Bi 1.599 6.407 1.949
Sr 1.306 3.502 0.000
Bi 8.016 3.208 1.949
Bi 3.208 1.599 1.949
Sr 6.114 1.306 0.000
Ga 4.808 4.808 0.000
Ga 0.000 0.000 0.000
Sr 8.309 6.114 0.000
```

Computed properties:
space group = P4/mbm (127)
calculated volume = 36.034 A^3/atom
E above lowest polymorph = 141 meV per atom
DFT formation energy = -40 kJ/mol of atoms
density of states at the Fermi level = 1.99 states/eV per cell